## TlMo2AsRu (SCAN)

Data for a crystal of TlMo2AsRu relaxed with PBEsol.

Lattice parameters (Å, degrees): 4.547 4.760 4.760 90.00 90.00 90.00
Element x y z (fractional)
Ru 0.000 0.000 0.000
Tl 0.500 0.500 0.500
Mo 0.000 0.500 0.000
As 0.500 0.000 0.000
Mo 0.000 0.000 0.500

Output
E: -38.201 eV per atom
D(E_F): 3.85 states/eV/cell



## MoAsS2 (SCAN)

Data for a crystal of MoAsS2 relaxed with PBEsol.

Lattice parameters (Å, degrees): 3.125 3.125 8.474 79.38 79.38 60.00
Element x y z (fractional)
S 0.898 0.898 0.307
As 0.000 0.000 0.000
S 0.102 0.102 0.693
Mo 0.500 0.500 0.500

Output
E: -18.838 eV per atom
D(E_F): 2.16 states/eV/cell
Energy relative to the elements, uncorrected: -255 meV per atom



## MoAsS3 (SCAN)

Data for a crystal of MoAsS3 relaxed with PBEsol.

Lattice parameters (Å, degrees): 4.614 4.614 4.614 90.00 90.00 90.00
Element x y z (fractional)
As 0.500 0.500 0.500
S 0.000 0.000 0.500
Mo 0.000 0.000 0.000
S 0.000 0.500 0.000
S 0.500 0.000 0.000

Output
E: -16.434 eV per atom
D(E_F): 3.35 states/eV/cell
Energy relative to the elements, uncorrected: 358 meV per atom



## Sb2Mo2As (SCAN)

Data for a crystal of Sb2Mo2As relaxed with PBEsol.

Lattice parameters (Å, degrees): 4.081 4.081 6.840 107.36 107.36 90.00
Element x y z (fractional)
Mo 0.603 0.603 0.207
As 0.000 0.000 0.000
Sb 0.250 0.750 0.500
Sb 0.750 0.250 0.500
Mo 0.397 0.397 0.793

Output
E: -32.144 eV per atom
D(E_F): 3.79 states/eV/cell
Energy relative to the elements, uncorrected: 752 meV per atom



## SbMoAs2 (SCAN)

Data for a crystal of SbMoAs2 relaxed with PBEsol.

Lattice parameters (Å, degrees): 3.166 3.166 9.077 79.96 79.96 60.00
Element x y z (fractional)
Mo 0.000 0.000 0.000
As 0.266 0.266 0.201
Sb 0.500 0.500 0.500
As 0.734 0.734 0.799

Output
E: -28.100 eV per atom
D(E_F): 2.70 states/eV/cell
Energy relative to the elements, uncorrected: 32 meV per atom



## Sb2MoAs (SCAN)

Data for a crystal of Sb2MoAs relaxed with PBEsol.

Lattice parameters (Å, degrees): 3.277 3.277 7.620 90.00 90.00 90.00
Element x y z (fractional)
As 0.000 0.000 0.551
Sb 0.000 0.000 0.942
Sb 0.500 0.500 0.301
Mo 0.500 0.500 0.706

Output
E: -32.347 eV per atom
D(E_F): 1.97 states/eV/cell
Energy relative to the elements, uncorrected: 52 meV per atom



## SbMoAs2 (SCAN)

Data for a crystal of SbMoAs2 relaxed with PBEsol.

Lattice parameters (Å, degrees): 2.930 2.930 9.437 90.00 90.00 107.96
Element x y z (fractional)
Sb 0.500 0.500 0.276
As 0.500 0.500 0.714
Mo 0.000 0.000 0.518
As 0.000 0.000 0.992

Output
E: -27.672 eV per atom
D(E_F): 2.93 states/eV/cell
Energy relative to the elements, uncorrected: 460 meV per atom



## SbMo2As (SCAN)

Data for a crystal of SbMo2As relaxed with PBEsol.

Lattice parameters (Å, degrees): 4.513 4.513 4.513 60.00 60.00 60.00
Element x y z (fractional)
As 0.500 0.500 0.500
Sb 0.000 0.000 0.000
Mo 0.750 0.750 0.750
Mo 0.250 0.250 0.250

Output
E: -31.601 eV per atom
D(E_F): 3.30 states/eV/cell
Energy relative to the elements, uncorrected: 205 meV per atom



| no. | size of the total moment (μB/f.u.) |
| --- | --- |
| 1 | 3.2 |
| 2 | 0.0 |
| 3 | 1.9 |
| 4 | 1.9 |
| 5 | 0.0 |
| 6 | 0.0 |
| 7 | 0.0 |
| 8 | 0.0 |